A plane-wave DFT calculation with PBE was carried out for a relaxed structure of Dy2MgO.

Geometry as POSCAR:
```
Dy2MgO
1.0
-2.746 -0.993 -1.944
-0.806 -3.402 -0.288
-5.986 -0.876 5.737
Mg O Dy
1 1 2
Direct
0.500 0.500 0.500
0.000 0.000 0.000
0.279 0.279 0.164
0.721 0.721 0.836
```

Output
Formation energy from raw total energies ... -1360 meV per atom
Crystal system ... trigonal
Total moment ... 0.0 μB/cell
Polymorph energy (0 for the lowest one) ... 0 meV/atom

A plane-wave DFT calculation with PBE was carried out for a relaxed structure of Eu2Ag2O5.

Geometry as POSCAR:
```
Eu2Ag2O5
1.0
9.042 0.044 -0.048
5.260 7.355 0.048
-7.055 -3.884 4.111
Eu O Ag
4 10 4
Direct
0.888 0.363 0.489
0.112 0.601 0.475
0.374 0.863 0.475
0.626 0.101 0.489
0.302 0.290 0.515
0.698 0.213 0.988
0.275 0.790 0.988
0.725 0.713 0.515
0.985 0.945 0.186
0.015 0.201 0.959
0.258 0.445 0.959
0.742 0.701 0.186
0.657 0.316 0.472
0.343 0.816 0.659
0.000 0.012 0.012
0.500 0.512 0.012
0.732 0.723 0.955
0.268 0.223 0.991
```

Output
Formation energy from raw total energies ... -1398 meV per atom
Crystal system ... orthorhombic
Total moment ... 24.1 μB/cell

A plane-wave DFT calculation with PBE was carried out for a relaxed structure of ZrCdCl2.

Geometry as POSCAR:
```
ZrCdCl2
1.0
-2.838 -2.070 4.495
-0.889 -2.035 -5.275
1.812 -2.708 -0.417
Cl Zr Cd
2 1 1
Direct
0.000 0.000 0.000
0.500 0.000 0.500
0.000 0.500 0.500
0.500 0.500 0.000
```

Output
Formation energy from raw total energies ... -509 meV per atom
Crystal system ... monoclinic
Total moment ... 0.0 μB/cell
Polymorph energy (0 for the lowest one) ... 563 meV/atom